(1)
The following is a GGA-PBE calculation of an optimized crystal structure of BeTlAu2, from Alexandria.

a = 2.979 Å, b = 2.968 Å, c = 8.643 Å
α = 78.40°, β = 90.00°, γ = 90.00°
Fractional coordinates of all 4 atoms:
Be (0.500, 0.250, 0.250)
Tl (0.500, 0.750, 0.750)
Au (0.000, 0.846, 0.079)
Au (0.000, 0.654, 0.421)

## Properties
**Crystal system**: monoclinic
**E_form**: -0.003 eV per atom

(2)
The following is a GGA-PBE calculation of an optimized crystal structure of Mn2ZnBr, from Alexandria.

a = 4.456 Å, b = 4.456 Å, c = 7.955 Å
α = 56.74°, β = 56.74°, γ = 41.75°
Fractional coordinates of all 4 atoms:
Br (0.250, 0.250, 0.250)
Mn (0.941, 0.941, 0.915)
Mn (0.559, 0.559, 0.585)
Zn (0.750, 0.750, 0.750)

## Properties
**Crystal system**: monoclinic
**E_form (uncorrected)**: 222 meV per atom

no.,E (eV/atom)
1,-3.17
2,-5.10